The following is a PBE calculation of an optimized crystal structure of Mg4Si7, from the Alexandria database.

Calculated values
Energy above the most stable polymorph in this dataset ... 0.001 eV/atom

Cell: 3.954 7.004 15.267 Å, 85.21 83.39 88.55°
Positions (direct):
1 Mg 0.000 0.000 0.000
2 Mg 0.036 0.521 0.923
3 Mg 0.094 0.173 0.778
4 Mg 0.141 0.714 0.702
5 Mg 0.350 0.385 0.264
6 Mg 0.426 0.985 0.172
7 Mg 0.562 0.846 0.858
8 Mg 0.715 0.299 0.443
9 Si 0.160 0.431 0.563
10 Si 0.207 0.760 0.508
11 Si 0.390 0.661 0.365
12 Si 0.473 0.338 0.045
13 Si 0.483 0.699 0.043
14 Si 0.538 0.218 0.905
15 Si 0.601 0.488 0.795
16 Si 0.632 0.352 0.652
17 Si 0.644 0.003 0.684
18 Si 0.687 0.945 0.530
19 Si 0.854 0.128 0.283
20 Si 0.910 0.787 0.288
21 Si 0.932 0.292 0.137
22 Si 0.942 0.656 0.143

---

The following is a PBE calculation of an optimized crystal structure of LaTa3C, from the Alexandria database.

Calculated values
Energy above the most stable polymorph in this dataset ... 3.246 eV/atom
Calculated formation energy ... 339.8 kJ per mole of atoms

Cell: 4.882 4.882 4.882 Å, 90.00 90.00 90.00°
Positions (direct):
1 La 0.000 0.000 0.000
2 Ta 0.000 0.000 0.500
3 Ta 0.000 0.500 0.000
4 Ta 0.500 0.000 0.000
5 C 0.500 0.500 0.500

---

The following is a PBE calculation of an optimized crystal structure of LaPm3Pd, from the Alexandria database.

Calculated values
Energy above the most stable polymorph in this dataset ... 0.000 eV/atom
Calculated formation energy ... -23.4 kJ per mole of atoms

Cell: 9.637 9.637 6.616 Å, 107.56 107.56 32.09°
Positions (direct):
1 La 0.086 0.086 0.245
2 La 0.914 0.914 0.755
3 Pm 0.176 0.176 0.863
4 Pm 0.299 0.299 0.437
5 Pm 0.469 0.469 0.232
6 Pm 0.531 0.531 0.768
7 Pm 0.701 0.701 0.563
8 Pm 0.824 0.824 0.137
9 Pd 0.334 0.334 0.896
10 Pd 0.666 0.666 0.104

---

The following is a PBE calculation of an optimized crystal structure of CoNi2Os, from the Alexandria database.

Calculated values
Energy above the most stable polymorph in this dataset ... 0.212 eV/atom
Calculated formation energy ... 30.0 kJ per mole of atoms

Cell: 2.554 2.554 8.440 Å, 90.00 90.00 116.70°
Positions (direct):
1 Co 0.000 0.000 0.000
2 Ni 0.000 0.000 0.518
3 Ni 0.500 0.500 0.760
4 Os 0.500 0.500 0.259

---

The following is a PBE calculation of an optimized crystal structure of SrCaNdCd, from the Alexandria database.

Calculated values
Calculated formation energy ... -0.4 kJ per mole of atoms

Cell: 5.823 5.823 5.823 Å, 60.00 60.00 60.00°
Positions (direct):
1 Sr 0.000 0.000 0.000
2 Ca 0.250 0.250 0.250
3 Nd 0.500 0.500 0.500
4 Cd 0.750 0.750 0.750

---

The following is a PBE calculation of an optimized crystal structure of Tb2ThHgC, from the Alexandria database.

Calculated values
Calculated formation energy ... -31.2 kJ per mole of atoms

Cell: 4.954 4.954 5.032 Å, 90.00 90.00 90.00°
Positions (direct):
1 Tb 0.000 0.500 0.000
2 Tb 0.500 0.000 0.000
3 Th 0.000 0.000 0.500
4 Hg 0.500 0.500 0.500
5 C 0.000 0.000 0.000

---

Calculated total DFT energy (no corrections), -86.54; -32.10; -51.17; -28.65; -9.38; -27.82 eV/cell (same order as the records).